# 1
Os4Rh3 (GGA-PBE, optimized geometry); D(E_F) = 10.12 states/eV/f.u.; SG = I4/mmm, No. 139; energy above the lowest structure with this stoichiometry = 0.0 kJ/mol of atoms; final energy = -9.068 eV per atom; energy of formation from the pure elements = 0.50 eV per atom
1.0
1.759 -3.262 9.081
0.998 1.280 9.673
-3.644 0.574 -9.088
Os Rh
4 3
direct
0.429 0.429 0.000
0.142 0.142 0.000
0.571 0.571 0.000
0.858 0.858 0.000
0.285 0.285 0.000
0.715 0.715 0.000
0.000 0.000 0.000

---

# 2
Os2Rh (GGA-PBE, optimized geometry); D(E_F) = 2.21 states/eV/f.u.; SG = Cmcm, No. 63; energy above the lowest structure with this stoichiometry = 2.9 kJ/mol of atoms; final energy = -9.898 eV per atom; energy of formation from the pure elements = 0.04 eV per atom
1.0
-0.739 0.295 -7.216
-2.001 -0.185 6.976
0.160 4.348 0.161
Rh Os
2 4
direct
0.668 0.332 0.000
0.888 0.112 0.500
0.220 0.780 0.500
0.997 0.003 0.000
0.558 0.442 0.500
0.335 0.665 0.000

---

# 3
Os2Rh (GGA-PBE, optimized geometry); D(E_F) = 3.02 states/eV/f.u.; SG = I4_1/amd, No. 141; energy above the lowest structure with this stoichiometry = 9.7 kJ/mol of atoms; final energy = -9.826 eV per atom; energy of formation from the pure elements = 0.11 eV per atom
1.0
-1.818 -3.033 1.554
-0.189 -1.669 -3.478
11.109 -2.737 2.853
Os Rh
8 4
direct
0.752 0.752 0.503
0.248 0.248 0.497
0.498 0.998 0.997
0.667 0.167 0.334
0.583 0.583 0.166
0.417 0.417 0.834
0.833 0.333 0.666
0.002 0.502 0.003
0.082 0.082 0.164
0.918 0.918 0.836
0.168 0.668 0.336
0.332 0.832 0.664

---

# 4
OsRh (GGA-PBE, optimized geometry); D(E_F) = 2.66 states/eV/f.u.; SG = I4_1/amd, No. 141; final energy = -9.182 eV per atom; energy of formation from the pure elements = 0.11 eV per atom
1.0
-1.931 1.931 3.810
1.931 -1.931 3.810
1.931 1.931 -3.810
Rh Os
2 2
direct
0.500 0.500 0.000
0.250 0.750 0.500
0.750 0.250 0.500
0.000 0.000 0.000

---

# 5
OsRh4 (GGA-PBE, optimized geometry); D(E_F) = 6.53 states/eV/f.u.; SG = C2, No. 5; energy above the lowest structure with this stoichiometry = 1.5 kJ/mol of atoms; final energy = -8.079 eV per atom; energy of formation from the pure elements = 0.05 eV per atom
1.0
5.165 0.226 -0.033
-2.324 3.207 -2.591
-0.056 -0.195 8.453
Rh Os
8 2
direct
0.005 0.625 0.054
0.400 0.221 0.450
0.007 0.785 0.548
0.198 0.582 0.751
0.602 0.182 0.148
0.795 0.812 0.847
0.793 0.982 0.351
0.400 0.380 0.950
0.600 0.015 0.649
0.201 0.417 0.251

---

# 6
OsRh (GGA-PBE, optimized geometry); D(E_F) = 1.61 states/eV/f.u.; SG = I4/m, No. 87; final energy = -8.192 eV per atom; energy of formation from the pure elements = 1.10 eV per atom
1.0
11.435 0.000 0.000
0.000 11.435 0.000
0.000 0.000 2.611
Os Rh
8 8
direct
0.750 0.111 0.500
0.750 0.389 0.000
0.889 0.750 0.500
0.250 0.889 0.500
0.611 0.750 0.000
0.389 0.250 0.000
0.111 0.250 0.500
0.250 0.611 0.000
0.105 0.737 0.500
0.737 0.895 0.500
0.605 0.237 0.000
0.763 0.605 0.000
0.237 0.395 0.000
0.263 0.105 0.500
0.895 0.263 0.500
0.395 0.763 0.000

---

# 7
OsRh (GGA-PBE, optimized geometry); D(E_F) = 2.67 states/eV/f.u.; SG = P6_3/mmc, No. 194; final energy = -8.432 eV per atom; energy of formation from the pure elements = 0.86 eV per atom
1.0
1.976 -3.422 0.000
1.976 3.422 0.000
0.000 0.000 5.014
Rh Os
2 2
direct
0.667 0.333 0.750
0.333 0.667 0.250
0.000 0.000 0.000
0.000 0.000 0.500

---

# 8
Os5Rh4 (GGA-PBE, optimized geometry); D(E_F) = 8.80 states/eV/f.u.; SG = I4/mmm, No. 139; energy above the lowest structure with this stoichiometry = 0.0 kJ/mol of atoms; final energy = -9.441 eV per atom; energy of formation from the pure elements = 0.06 eV per atom
1.0
-4.593 -5.257 4.238
-1.016 -4.530 -6.719
-1.230 -5.909 -0.794
Os Rh
5 4
direct
0.336 0.336 0.000
0.000 0.000 0.000
0.664 0.664 0.000
0.664 0.336 0.000
0.336 0.664 0.000
0.328 0.000 0.000
0.672 0.000 0.000
0.000 0.328 0.000
0.000 0.672 0.000

---

# 9
Os4Rh3 (GGA-PBE, optimized geometry); D(E_F) = 7.51 states/eV/f.u.; SG = P6/mmm, No. 191; energy above the lowest structure with this stoichiometry = 10.5 kJ/mol of atoms; final energy = -8.959 eV per atom; energy of formation from the pure elements = 0.61 eV per atom
1.0
2.472 -4.281 0.000
2.472 4.281 0.000
0.000 0.000 4.876
Os Rh
4 3
direct
0.000 0.000 0.743
0.000 0.000 0.257
0.667 0.333 0.500
0.333 0.667 0.500
0.500 0.500 0.000
0.500 0.000 0.000
0.000 0.500 0.000

---

# 10
Os5Rh3 (GGA-PBE, optimized geometry); D(E_F) = 7.61 states/eV/f.u.; SG = P-1, No. 2; energy above the lowest structure with this stoichiometry = 25.0 kJ/mol of atoms; final energy = -9.404 eV per atom; energy of formation from the pure elements = 0.37 eV per atom
1.0
4.717 0.143 -0.196
2.559 7.702 0.044
-2.643 0.063 6.780
Rh Os
6 10
direct
0.764 0.886 0.481
0.276 0.030 0.074
0.744 0.486 0.855
0.724 0.970 0.927
0.237 0.114 0.520
0.257 0.514 0.146
0.330 0.307 0.853
0.588 0.208 0.328
0.888 0.328 0.194
0.703 0.566 0.481
0.830 0.171 0.719
0.671 0.693 0.148
0.298 0.434 0.520
0.413 0.792 0.673
0.171 0.829 0.282
0.112 0.672 0.807

---

# 11
OsRh (GGA-PBE, optimized geometry); D(E_F) = 1.51 states/eV/f.u.; SG = R-3m, No. 166; final energy = -9.206 eV per atom; energy of formation from the pure elements = 0.08 eV per atom
1.0
4.707 -0.011 -0.007
3.927 2.595 -0.006
3.927 1.175 2.313
Os Rh
1 1
direct
0.000 0.000 0.000
0.500 0.500 0.500

---

# 12
Os2Rh (GGA-PBE, optimized geometry); D(E_F) = 3.94 states/eV/f.u.; SG = P6_3/mmc, No. 194; energy above the lowest structure with this stoichiometry = 37.1 kJ/mol of atoms; final energy = -9.543 eV per atom; energy of formation from the pure elements = 0.39 eV per atom
1.0
2.162 -3.745 0.000
2.162 3.745 0.000
0.000 0.000 5.387
Rh Os
2 4
direct
0.667 0.333 0.250
0.333 0.667 0.750
0.000 0.000 0.500
0.333 0.667 0.250
0.000 0.000 0.000
0.667 0.333 0.750

---

# 13
OsRh7 (GGA-PBE, optimized geometry); D(E_F) = 12.02 states/eV/f.u.; SG = Fm-3m, No. 225; final energy = -7.796 eV per atom; energy of formation from the pure elements = 0.04 eV per atom
1.0
5.433 0.000 0.000
2.716 4.705 0.000
2.716 1.568 4.436
Rh Os
7 1
direct
0.000 0.500 0.000
0.500 0.000 0.000
0.500 0.500 0.000
0.000 0.500 0.500
0.500 0.500 0.500
0.500 0.000 0.500
0.000 0.000 0.500
0.000 0.000 0.000

---

# 14
Os5Rh (GGA-PBE, optimized geometry); D(E_F) = 2.71 states/eV/f.u.; SG = P-62m, No. 189; energy above the lowest structure with this stoichiometry = 0.0 kJ/mol of atoms; final energy = -10.581 eV per atom; energy of formation from the pure elements = 0.00 eV per atom
1.0
4.764 0.000 0.000
-2.382 4.126 0.000
0.000 0.000 4.351
Os Rh
5 1
direct
0.999 0.000 0.000
0.000 0.333 0.500
0.668 0.335 0.000
0.667 0.667 0.500
0.333 0.665 0.000
0.333 0.000 0.500

---

# 15
OsRh (GGA-PBE, optimized geometry); D(E_F) = 1.92 states/eV/f.u.; SG = Cmcm, No. 63; final energy = -9.081 eV per atom; energy of formation from the pure elements = 0.21 eV per atom
1.0
1.337 -5.081 0.000
1.337 5.081 0.000
0.000 0.000 4.215
Os Rh
2 2
direct
0.176 0.824 0.250
0.824 0.176 0.750
0.430 0.570 0.250
0.570 0.430 0.750

---

# 16
OsRh5 (GGA-PBE, optimized geometry); D(E_F) = 7.70 states/eV/f.u.; SG = F-43m, No. 216; energy above the lowest structure with this stoichiometry = 51.4 kJ/mol of atoms; final energy = -7.445 eV per atom; energy of formation from the pure elements = 0.55 eV per atom
1.0
0.400 -1.228 4.853
-3.707 1.136 3.191
-2.874 -3.648 1.912
Rh Os
5 1
direct
0.750 0.750 0.750
0.375 0.375 0.375
0.375 0.375 0.875
0.375 0.875 0.375
0.875 0.375 0.375
0.000 0.000 0.000

---

# 17
Os5Rh (GGA-PBE, optimized geometry); D(E_F) = 5.74 states/eV/f.u.; SG = Cmmm, No. 65; energy above the lowest structure with this stoichiometry = 12.2 kJ/mol of atoms; final energy = -10.455 eV per atom; energy of formation from the pure elements = 0.13 eV per atom
1.0
3.867 0.000 0.000
0.000 3.862 0.000
0.000 -1.931 5.753
Os Rh
5 1
direct
0.000 0.331 0.662
0.500 0.833 0.666
0.500 0.500 0.000
0.000 0.669 0.338
0.500 0.167 0.334
0.000 0.000 0.000

---

# 18
Os5Rh3 (GGA-PBE, optimized geometry); D(E_F) = 9.08 states/eV/f.u.; SG = P6_3/mcm, No. 193; energy above the lowest structure with this stoichiometry = 41.7 kJ/mol of atoms; final energy = -9.230 eV per atom; energy of formation from the pure elements = 0.54 eV per atom
1.0
-4.324 4.857 -4.187
-3.358 -5.730 3.965
-0.429 2.827 3.722
Os Rh
10 6
direct
0.196 0.196 0.250
0.333 0.667 0.000
0.804 0.804 0.750
0.333 0.667 0.500
0.196 0.000 0.750
0.804 0.000 0.250
0.000 0.196 0.750
0.000 0.804 0.250
0.667 0.333 0.000
0.667 0.333 0.500
0.604 0.604 0.250
0.604 0.000 0.750
0.396 0.396 0.750
0.000 0.604 0.750
0.396 0.000 0.250
0.000 0.396 0.250

---

# 19
OsRh (GGA-PBE, optimized geometry); D(E_F) = 3.23 states/eV/f.u.; SG = Fd-3m, No. 227; final energy = -8.726 eV per atom; energy of formation from the pure elements = 0.56 eV per atom
1.0
0.000 3.083 3.083
3.083 0.000 3.083
3.083 3.083 0.000
Rh Os
2 2
direct
0.500 0.500 0.500
0.750 0.750 0.750
0.250 0.250 0.250
0.000 0.000 0.000

---

# 20
OsRh (GGA-PBE, optimized geometry); D(E_F) = 1.62 states/eV/f.u.; SG = Pnma, No. 62; final energy = -9.255 eV per atom; energy of formation from the pure elements = 0.04 eV per atom
1.0
9.503 0.000 0.000
0.000 4.351 0.000
0.000 0.000 5.493
Os Rh
8 8
direct
0.336 0.750 0.251
0.915 0.250 0.499
0.415 0.250 0.001
0.085 0.750 0.501
0.664 0.250 0.749
0.164 0.250 0.751
0.836 0.750 0.249
0.585 0.750 0.999
0.831 0.750 0.750
0.331 0.750 0.750
0.583 0.750 0.494
0.083 0.750 0.006
0.417 0.250 0.506
0.169 0.250 0.250
0.917 0.250 0.994
0.669 0.250 0.250

---

# 21
OsRh (GGA-PBE, optimized geometry); D(E_F) = 1.96 states/eV/f.u.; SG = Pmn2_1, No. 31; final energy = -9.129 eV per atom; energy of formation from the pure elements = 0.16 eV per atom
1.0
-6.857 -1.712 -1.898
1.637 -1.480 -4.579
0.635 -4.353 1.634
Os Rh
6 6
direct
0.679 0.435 0.422
0.321 0.435 0.422
0.500 0.300 0.927
0.821 0.565 0.922
0.000 0.700 0.427
0.179 0.565 0.922
0.823 0.066 0.743
0.177 0.066 0.743
0.500 0.796 0.745
0.323 0.934 0.243
0.677 0.934 0.243
0.000 0.204 0.245

---

# 22
OsRh (GGA-PBE, optimized geometry); D(E_F) = 1.92 states/eV/f.u.; SG = P-3m1, No. 164; final energy = -9.291 eV per atom; energy of formation from the pure elements = 0.00 eV per atom
1.0
-1.819 0.444 -2.009
-0.530 -1.866 1.944
-3.868 6.168 4.867
Rh Os
2 2
direct
0.333 0.667 0.756
0.000 0.000 0.494
0.000 0.000 0.005
0.333 0.667 0.245

---

# 23
OsRh5 (GGA-PBE, optimized geometry); D(E_F) = 6.58 states/eV/f.u.; SG = Amm2, No. 38; energy above the lowest structure with this stoichiometry = 1.9 kJ/mol of atoms; final energy = -7.958 eV per atom; energy of formation from the pure elements = 0.04 eV per atom
1.0
-6.968 0.710 1.747
6.535 -3.043 -0.373
1.140 1.990 3.738
Rh Os
5 1
direct
0.663 0.337 0.000
0.224 0.776 0.500
0.889 0.111 0.500
0.336 0.664 0.000
0.556 0.444 0.500
0.999 0.001 0.000

---

# 24
Os2Rh (GGA-PBE, optimized geometry); D(E_F) = 2.74 states/eV/f.u.; SG = Pa-3, No. 205; energy above the lowest structure with this stoichiometry = 121.5 kJ/mol of atoms; final energy = -8.668 eV per atom; energy of formation from the pure elements = 1.27 eV per atom
1.0
-2.175 4.770 -2.899
-3.126 -3.619 -3.609
-4.625 0.203 3.803
Rh Os
4 8
direct
0.000 0.000 0.000
0.500 0.500 0.000
0.500 0.000 0.500
0.000 0.500 0.500
0.609 0.891 0.109
0.609 0.609 0.609
0.109 0.609 0.891
0.109 0.891 0.391
0.391 0.391 0.391
0.891 0.109 0.609
0.891 0.391 0.109
0.391 0.109 0.891